[1]
This record from Alexandria via LeMat-Bulk describes an optimized crystal structure of Cs2SrH6Ru. The functional is PBE.

DFT total energy	-0.2623	Ry per atom
volume	21.92	Å³/atom

```
Cs2SrH6Ru
1.0
5.907 0.000 0.000
0.000 6.546 0.000
0.000 -3.273 5.669
Cs Sr H Ru
2 1 6 1
Cartesian
0.848 0.000 3.779 Cs
5.058 3.273 1.890 Cs
2.953 0.000 0.000 Sr
4.927 0.000 1.459 H
4.927 -2.009 4.939 H
4.927 2.009 4.939 H
0.980 5.282 0.730 H
0.980 1.264 0.730 H
0.980 3.273 4.210 H
0.000 0.000 0.000 Ru
```

[2]
This record from Alexandria via LeMat-Bulk describes an optimized crystal structure of SrBCl3. The functional is PBE.

energy relative to the elements, uncorrected	-0.42	eV per atom
relative energy among the computed polymorphs	297	meV per atom
volume	35.66	Å³/atom

```
SrBCl3
1.0
5.629 0.000 0.000
0.000 5.629 0.000
0.000 0.000 5.629
Sr B Cl
1 1 3
Cartesian
0.000 0.000 0.000 Sr
2.814 2.814 2.814 B
0.000 2.814 0.000 Cl
0.000 0.000 2.814 Cl
2.814 0.000 0.000 Cl
```

[3]
This record from Alexandria via LeMat-Bulk describes an optimized crystal structure of NaCu3Si2. The functional is PBE.

energy relative to the elements, uncorrected	0.07	eV per atom
volume	15.07	Å³/atom

```
NaCu3Si2
1.0
-3.722 1.034 -1.245
-2.226 -5.486 -4.518
-4.502 -5.471 2.298
Na Cu Si
2 6 4
Cartesian
-4.134 -0.611 -1.380 Na
-6.316 -9.312 -2.086 Na
-6.170 -7.015 -0.613 Cu
-3.750 -5.475 0.045 Cu
-5.139 -2.900 -0.278 Cu
-5.311 -7.022 -3.188 Cu
-6.701 -4.447 -3.511 Cu
-4.280 -2.907 -2.852 Cu
-5.991 -4.956 0.562 Si
-4.459 -4.967 -4.027 Si
-7.623 -6.585 -2.530 Si
-2.827 -3.338 -0.936 Si
```